[1]
First-principles (PBE) data for a geometry-optimized KCa2Ti structure, as listed in Alexandria via LeMat-Bulk.

a = 5.9490 Å, b = 5.9490 Å, c = 5.9490 Å
α = 60.00°, β = 60.00°, γ = 60.00°
Last column: magnetic moment on the atom in μB.
Positions (direct):
Ca1 0.7500 0.7500 0.7500  0.08
Ca2 0.2500 0.2500 0.2500  0.08
K1 0.0000 0.0000 0.0000  0.01
Ti1 0.5000 0.5000 0.5000  1.88

Space-group type = Fm-3m (225)
Offset from the most stable computed form = 0.0 meV per atom
ρ = 1864 kg/m3
Formation enthalpy at 0 K = 0.668 eV per atom



[2]
First-principles (PBE) data for a geometry-optimized K2Ca2Ti structure, as listed in Alexandria via LeMat-Bulk.

a = 4.6146 Å, b = 4.6146 Å, c = 10.8971 Å
α = 77.78°, β = 77.78°, γ = 90.00°
Last column: magnetic moment on the atom in μB.
Positions (direct):
Ca1 0.5808 0.5808 0.8385  0.09
Ti1 0.0000 0.0000 0.0000  1.96
K1 0.2500 0.7500 0.5000  -0.01
Ca2 0.4192 0.4192 0.1615  0.09
K2 0.7500 0.2500 0.5000  -0.01

Space-group type = I4/mmm (139)
Offset from the most stable computed form = 115.4 meV per atom
ρ = 1547 kg/m3
Formation enthalpy at 0 K = 0.786 eV per atom



[3]
First-principles (PBE) data for a geometry-optimized KCaTi2 structure, as listed in Alexandria via LeMat-Bulk.

a = 4.4865 Å, b = 4.4865 Å, c = 12.5081 Å
α = 79.67°, β = 79.67°, γ = 90.00°
Positions (direct):
Ca1 0.0000 0.0000 0.0000
K1 0.2500 0.7500 0.5000
Ti1 0.9930 0.6250 0.2500
Ca2 0.7500 0.2500 0.5000
Ti2 0.8750 0.0070 0.7500
K2 0.5000 0.5000 0.0000
Ti3 0.3750 0.2430 0.7500
Ti4 0.7570 0.1250 0.2500

Space-group type = I-42d (122)
Offset from the most stable computed form = 0.0 meV per atom
ρ = 2385 kg/m3
Formation enthalpy at 0 K = 1.250 eV per atom



[4]
First-principles (PBE) data for a geometry-optimized K3CaTi structure, as listed in Alexandria via LeMat-Bulk.

a = 6.6887 Å, b = 6.6887 Å, c = 6.6887 Å
α = 90.00°, β = 90.00°, γ = 90.00°
Last column: magnetic moment on the atom in μB.
Positions (direct):
K1 0.0000 0.5000 0.0000  0.04
Ca1 0.5000 0.5000 0.5000  0.04
K2 0.5000 0.0000 0.0000  0.03
Ti1 0.0000 0.0000 0.0000  2.22
K3 0.0000 0.0000 0.5000  0.04

Space-group type = Pm-3m (221)
Offset from the most stable computed form = 0.0 meV per atom
ρ = 1139 kg/m3
Formation enthalpy at 0 K = 0.956 eV per atom



Which of these has the highest offset from the most stable computed form? K2Ca2Ti